{"formula": "Ba2MgTlO5", "functional": "GGA-PBE", "state": "relaxed", "lattice": [[1.851, -7.341, 0.000], [1.851, 7.341, 0.000], [0.000, 0.000, 11.138]], "species": ["Ba", "Ba", "Ba", "Ba", "Mg", "Mg", "Tl", "Tl", "O", "O", "O", "O", "O", "O", "O", "O", "O", "O"], "fractional_positions": [[0.107, 0.893, 0.500], [0.136, 0.864, 0.124], [0.864, 0.136, 0.624], [0.893, 0.107, 0.000], [0.222, 0.778, 0.841], [0.778, 0.222, 0.341], [0.462, 0.538, 0.291], [0.538, 0.462, 0.791], [0.072, 0.928, 0.884], [0.280, 0.720, 0.455], [0.302, 0.698, 0.241], [0.369, 0.631, 0.824], [0.499, 0.501, 0.605], [0.501, 0.499, 0.105], [0.631, 0.369, 0.324], [0.698, 0.302, 0.741], [0.720, 0.280, 0.955], [0.928, 0.072, 0.384]], "vol_a3_per_atom": 16.81, "spacegroup": "No. 36", "final_energy_ev_per_atom": -5.4297, "crystal_system": "orthorhombic", "formation_energy_uncorrected_ev_per_atom": -1.808}